Below is K2CoCO4 after structural relaxation, with properties calculated at the PBE with a Hubbard U level.

Cell: 11.3602 10.2795 5.9269 Å, 84.47 64.24 31.29°
Element x y z (fractional)
K: 0.0511 0.0511 0.6989
K: 0.3011 0.3011 0.9489
K: 0.6989 0.6989 0.0511
K: 0.9489 0.9489 0.3011
Co: 0.1250 0.1250 0.1250
Co: 0.8750 0.8750 0.8750
C: 0.3750 0.3750 0.3750
C: 0.6250 0.6250 0.6250
O: 0.0844 0.5860 0.5154
O: 0.3142 0.5154 0.5860
O: 0.4140 0.9156 0.6858
O: 0.4846 0.6858 0.9156
O: 0.5154 0.3142 0.0844
O: 0.5860 0.0844 0.3142
O: 0.6858 0.4846 0.4140
O: 0.9156 0.4140 0.4846

Calculated values
**Space-group type**: Fddd, No. 70
**M_tot**: 3.00 μB/f.u.
**DOS(E_F)**: 0.0 states/eV per cell
**Calculated total energy**: -5.847 eV/atom